1 | # LiLa4Ir

An optimized crystal structure of LiLa4Ir (PBE-GGA, the Alexandria database).

Cell: 8.9694 8.9694 6.9133 Å, 105.10 105.10 118.51°
With the nearest neighbours (Å) after each atom.
Atoms (fractional coordinates):
Li: 0.1120 0.8880 0.7500  8 La 3.30-3.53
Li: 0.8880 0.1120 0.2500  8 La 3.30-3.53
La: 0.1421 0.5660 0.3698  1 Ir 2.81
La: 0.2259 0.3311 0.7894  2 Ir 2.80-2.96
La: 0.3311 0.2259 0.2894  2 Ir 2.80-2.96
La: 0.4340 0.8579 0.1302  1 Ir 2.81
La: 0.5660 0.1421 0.8698  1 Ir 2.81
La: 0.6689 0.7741 0.7106  2 Ir 2.80-2.96
La: 0.7741 0.6689 0.2106  2 Ir 2.80-2.96
La: 0.8579 0.4340 0.6302  1 Ir 2.81
Ir: 0.4225 0.5775 0.2500  6 La 2.80-2.96
Ir: 0.5775 0.4225 0.7500  6 La 2.80-2.96

Properties
- Density of states at the Fermi level: 15.23 states/eV/cell


2 | # LiLa4Ir

An optimized crystal structure of LiLa4Ir (PBE-GGA, the Alexandria database).

Cell: 6.2832 6.2832 6.2832 Å, 60.00 60.00 60.00°
With the nearest neighbours (Å) after each atom.
Atoms (fractional coordinates):
Li: 0.0000 0.0000 0.0000  12 La 3.69, 4 Ir 3.85
La: 0.3778 0.3778 0.3778  6 La 3.07-3.21
La: 0.3778 0.3778 0.8667  6 La 3.07-3.21
La: 0.3778 0.8667 0.3778  6 La 3.07-3.21
La: 0.8667 0.3778 0.3778  6 La 3.07-3.21
Ir: 0.7500 0.7500 0.7500  12 La 3.68, 4 Li 3.85

Properties
- Density of states at the Fermi level: 10.70 states/eV/cell


On energetic grounds, 1 is preferred over the next structure by 785 meV per atom.


1 | # Li2LaIr2

An optimized crystal structure of Li2LaIr2 (PBE-GGA, the Alexandria database).

Cell: 6.2025 6.2025 6.2025 Å, 140.93 140.93 56.44°
With the nearest neighbours (Å) after each atom.
Atoms (fractional coordinates):
Li: 0.2500 0.7500 0.5000  4 Ir 2.57
Li: 0.7500 0.2500 0.5000  4 Ir 2.57
La: 0.0000 0.0000 0.0000  8 Ir 3.18, 8 Li 3.43
Ir: 0.3882 0.3882 0.0000  1 Ir 2.45, 4 Li 2.57
Ir: 0.6118 0.6118 0.0000  1 Ir 2.45, 4 Li 2.57

Properties
- Density of states at the Fermi level: 6.66 states/eV/cell


2 | # Li2LaIr2

An optimized crystal structure of Li2LaIr2 (PBE-GGA, the Alexandria database).

Cell: 7.5458 7.5458 2.9127 Å, 90.00 90.00 90.00°
With the nearest neighbours (Å) after each atom.
Atoms (fractional coordinates):
Li: 0.1090 0.3910 0.0000  1 Li 2.33
Li: 0.3910 0.8910 0.0000  1 Li 2.33
Li: 0.6090 0.1090 0.0000  1 Li 2.33
Li: 0.8910 0.6090 0.0000  1 Li 2.33
La: 0.0000 0.0000 0.0000  2 La 2.91, 4 Li 3.06, 8 Ir 3.12
La: 0.5000 0.5000 0.0000  2 La 2.91, 4 Li 3.06, 8 Ir 3.12
Ir: 0.1857 0.6857 0.5000  6 Li 2.63-2.72, 2 Ir 2.91
Ir: 0.3143 0.1857 0.5000  6 Li 2.63-2.72, 2 Ir 2.91
Ir: 0.6857 0.8143 0.5000  6 Li 2.63-2.72, 2 Ir 2.91
Ir: 0.8143 0.3143 0.5000  6 Li 2.63-2.72, 2 Ir 2.91

Properties
- Density of states at the Fermi level: 4.47 states/eV/cell


On energetic grounds, 1 is preferred over the next structure by 31 meV per atom.


1 | # LiLa2ZnIr

An optimized crystal structure of LiLa2ZnIr (PBE-GGA, the Alexandria database).

Cell: 5.5053 5.5053 4.8824 Å, 90.00 90.00 90.00°
With the nearest neighbours (Å) after each atom.
Atoms (fractional coordinates):
Li: 0.0000 0.0000 0.0000  2 Ir 2.44
La: 0.0000 0.5000 0.5000  2 Ir 2.75
La: 0.5000 0.0000 0.5000  2 Ir 2.75
Zn: 0.5000 0.5000 0.0000  8 La 3.68, 4 Li 3.89
Ir: 0.0000 0.0000 0.5000  2 Li 2.44

Properties
- Density of states at the Fermi level: 3.02 states/eV/cell


2 | # LiLa2ZnIr

An optimized crystal structure of LiLa2ZnIr (PBE-GGA, the Alexandria database).

Cell: 5.5426 5.5426 4.9912 Å, 90.00 90.00 90.00°
With the nearest neighbours (Å) after each atom.
Atoms (fractional coordinates):
Li: 0.0000 0.0000 0.0000  8 La 3.73, 4 Zn 3.92
La: 0.0000 0.5000 0.5000  2 Ir 2.77
La: 0.5000 0.0000 0.5000  2 Ir 2.77
Zn: 0.5000 0.5000 0.0000  2 Ir 2.50
Ir: 0.5000 0.5000 0.5000  2 Zn 2.50, 4 La 2.77

Properties
- Density of states at the Fermi level: 2.89 states/eV/cell


On energetic grounds, 2 is preferred over the next structure by 50 meV per atom.


1 | # LaLuIr

An optimized crystal structure of LaLuIr (PBE-GGA, the Alexandria database).

Cell: 4.8828 4.8828 4.8828 Å, 60.00 60.00 60.00°
With the nearest neighbours (Å) after each atom.
Atoms (fractional coordinates):
La: 0.0000 0.0000 0.0000  4 Ir 2.99
Lu: 0.5000 0.5000 0.5000  4 Ir 2.99
Ir: 0.2500 0.2500 0.2500  4 Lu 2.99, 4 La 2.99

Properties
- Density of states at the Fermi level: 3.56 states/eV/cell


2 | # LaLuIr

An optimized crystal structure of LaLuIr (PBE-GGA, the Alexandria database).

Cell: 6.9122 6.9122 6.9122 Å, 150.61 150.61 42.04°
With the nearest neighbours (Å) after each atom.
Atoms (fractional coordinates):
La: 0.0000 0.0000 0.0000  4 Ir 3.09, 1 Lu 3.29
Lu: 0.7448 0.7448 0.0000  4 Ir 2.88
Ir: 0.3576 0.3576 0.0000  4 Lu 2.88, 4 La 3.09

Properties
- Density of states at the Fermi level: 4.20 states/eV/cell


3 | # LaLuIr

An optimized crystal structure of LaLuIr (PBE-GGA, the Alexandria database).

Cell: 4.1659 4.1659 6.2066 Å, 90.00 90.00 120.00°
With the nearest neighbours (Å) after each atom.
Atoms (fractional coordinates):
La: 0.0000 0.0000 0.0000  3 Ir 2.86
Lu: 0.6667 0.3333 0.5416  3 Ir 2.74
Ir: 0.3333 0.6667 0.7514  3 Lu 2.74, 3 La 2.86

Properties
- Density of states at the Fermi level: 2.34 states/eV/cell


On energetic grounds, 1 is preferred over the next structure by 42 meV per atom.


1 | # LaLuIr2

An optimized crystal structure of LaLuIr2 (PBE-GGA, the Alexandria database).

Cell: 3.3756 3.3756 7.3197 Å, 90.00 90.00 90.00°
With the nearest neighbours (Å) after each atom.
Atoms (fractional coordinates):
La: 0.0000 0.0000 0.0000  8 Ir 3.12, 4 La 3.38
Lu: 0.0000 0.0000 0.5000  8 Ir 2.90
Ir: 0.5000 0.5000 0.2743  4 Lu 2.90, 4 La 3.12
Ir: 0.5000 0.5000 0.7257  4 Lu 2.90, 4 La 3.12

Properties
- Density of states at the Fermi level: 2.39 states/eV/cell


2 | # LaLuIr2

An optimized crystal structure of LaLuIr2 (PBE-GGA, the Alexandria database).

Cell: 4.9229 4.9229 4.9229 Å, 60.00 60.00 60.00°
With the nearest neighbours (Å) after each atom.
Atoms (fractional coordinates):
La: 0.0000 0.0000 0.0000  8 Ir 3.01
Lu: 0.5000 0.5000 0.5000  8 Ir 3.01
Ir: 0.2500 0.2500 0.2500  4 Lu 3.01, 4 La 3.01
Ir: 0.7500 0.7500 0.7500  4 La 3.01, 4 Lu 3.01

Properties
- Density of states at the Fermi level: 2.89 states/eV/cell


On energetic grounds, 1 is preferred over the next structure by 39 meV per atom.


1 | # NaLa2MgIr

An optimized crystal structure of NaLa2MgIr (PBE-GGA, the Alexandria database).

Cell: 5.5866 5.5866 5.3250 Å, 90.00 90.00 90.00°
With the nearest neighbours (Å) after each atom.
Atoms (fractional coordinates):
Na: 0.0000 0.0000 0.0000  8 La 3.86, 4 Mg 3.95
La: 0.0000 0.5000 0.5000  2 Ir 2.79
La: 0.5000 0.0000 0.5000  2 Ir 2.79
Mg: 0.5000 0.5000 0.0000  2 Ir 2.66
Ir: 0.5000 0.5000 0.5000  2 Mg 2.66, 4 La 2.79

Properties
- Density of states at the Fermi level: 3.36 states/eV/cell


2 | # NaLa2MgIr

An optimized crystal structure of NaLa2MgIr (PBE-GGA, the Alexandria database).

Cell: 5.5026 5.5026 5.6793 Å, 90.00 90.00 90.00°
With the nearest neighbours (Å) after each atom.
Atoms (fractional coordinates):
Na: 0.0000 0.0000 0.0000  2 Ir 2.84
La: 0.0000 0.5000 0.5000  2 Ir 2.75
La: 0.5000 0.0000 0.5000  2 Ir 2.75
Mg: 0.5000 0.5000 0.0000  4 Na 3.89, 8 La 3.95
Ir: 0.0000 0.0000 0.5000  4 La 2.75, 2 Na 2.84

Properties
- Density of states at the Fermi level: 2.81 states/eV/cell


On energetic grounds, 1 is preferred over the next structure by 170 meV per atom.